# 1
# Ca2NiCl

A relaxed structure of Ca2NiCl (PBE, Alexandria via LeMat-Bulk).

abc: 5.063 5.063 5.063
angles: 60.00 60.00 60.00
Element x y z (fractional)
Ca 0.250 0.250 0.250
Ca 0.750 0.750 0.750
Ni 0.000 0.000 0.000
Cl 0.500 0.500 0.500

- Space-group type: No. 225
- Energy above the lowest structure with this stoichiometry: 303 meV/atom
- Uncorrected energy: -13.73 eV/f.u.
- DOS(E_F): 0.576 states/eV/atom
- Uncorrected formation energy: -0.524 eV per atom

# 2
# CsSiHg2Au

A relaxed structure of CsSiHg2Au (PBE, Alexandria via LeMat-Bulk).

abc: 5.648 5.648 4.868
angles: 90.00 90.00 90.00
Element x y z (fractional)
Cs 0.000 0.000 0.000
Si 0.500 0.500 0.500
Hg 0.000 0.500 0.500
Hg 0.500 0.000 0.500
Au 0.500 0.500 0.000

- Space-group type: No. 123
- Uncorrected energy: -10.47 eV/f.u.
- DOS(E_F): 0.558 states/eV/atom
- Uncorrected formation energy: -0.063 eV per atom

# 3
# Tb3Y3Tm2

A relaxed structure of Tb3Y3Tm2 (PBE, Alexandria via LeMat-Bulk).

abc: 6.424 6.424 6.424
angles: 95.57 95.57 95.57
Element x y z (fractional)
Tb 0.000 0.688 0.312
Tb 0.312 0.000 0.688
Tb 0.688 0.312 0.000
Y 0.217 0.500 0.783
Y 0.500 0.783 0.217
Y 0.783 0.217 0.500
Tm 0.192 0.192 0.192
Tm 0.808 0.808 0.808

- Space-group type: No. 155
- ΔE_f: 145 meV/atom
- Energy above the lowest structure with this stoichiometry: 52 meV/atom
- Uncorrected energy: -41.07 eV/f.u.
- DOS(E_F): 1.697 states/eV/atom

# 4
# Te3Pb

A relaxed structure of Te3Pb (PBE, Alexandria via LeMat-Bulk).

abc: 5.986 5.986 5.986
angles: 90.00 90.00 90.00
Element x y z (fractional)
Te 0.000 0.000 0.500
Te 0.000 0.500 0.000
Te 0.500 0.000 0.000
Pb 0.000 0.000 0.000

- Space-group type: No. 221
- Uncorrected energy: -10.44 eV/f.u.
- DOS(E_F): 2.196 states/eV/atom
- Uncorrected formation energy: 0.674 eV per atom

# 5
# CaGaOs2

A relaxed structure of CaGaOs2 (PBE, Alexandria via LeMat-Bulk).

abc: 9.599 9.599 9.599
angles: 153.67 153.67 37.57
Element x y z (fractional)
Ca 0.000 0.000 0.000
Ca 0.750 0.250 0.500
Ga 0.250 0.750 0.500
Ga 0.500 0.500 0.000
Os 0.261 0.625 0.136
Os 0.375 0.511 0.636
Os 0.489 0.125 0.864
Os 0.875 0.739 0.364

- Space-group type: No. 122
- ΔE_f: 453 meV/atom
- Uncorrected energy: -25.68 eV/f.u.
- DOS(E_F): 0.487 states/eV/atom

# 6
# CdSbAs

A relaxed structure of CdSbAs (PBE, Alexandria via LeMat-Bulk).

abc: 6.892 6.690 3.405
angles: 78.79 72.22 28.99
Element x y z (fractional)
Cd 0.000 0.000 0.000
Sb 0.685 0.685 0.315
As 0.346 0.346 0.654

- Space-group type: No. 42
- Energy above the lowest structure with this stoichiometry: 44 meV/atom
- Uncorrected energy: -8.97 eV/f.u.
- DOS(E_F): 0.263 states/eV/atom
- Uncorrected formation energy: 0.239 eV per atom

Among the records above, which one has the highest uncorrected energy?
CdSbAs

Which value of uncorrected energy does entry 5 give?
-25.68 eV/f.u.

What did the first record say?
# Ca2NiCl

A relaxed structure of Ca2NiCl (PBE, Alexandria via LeMat-Bulk).

abc: 5.063 5.063 5.063
angles: 60.00 60.00 60.00
Element x y z (fractional)
Ca 0.250 0.250 0.250
Ca 0.750 0.750 0.750
Ni 0.000 0.000 0.000
Cl 0.500 0.500 0.500

- Space-group type: No. 225
- Energy above the lowest structure with this stoichiometry: 303 meV/atom
- Uncorrected energy: -13.73 eV/f.u.
- DOS(E_F): 0.576 states/eV/atom
- Uncorrected formation energy: -0.524 eV per atom

Look up the uncorrected energy of the sixth one.
-8.97 eV/f.u.